BeFe2PBr: relaxed, PBE-GGA.

Cell and atoms, written as POSCAR:
```
BeFe2PBr
1.0
4.578 0.000 0.000
0.000 4.578 0.000
0.000 0.000 3.980
Br Fe P Be
1 2 1 1
Direct
0.500 0.500 0.500
0.500 0.000 0.000
0.000 0.500 0.000
0.000 0.000 0.000
0.000 0.000 0.500
```

## Properties
The volume comes out at 16.683 A^3/atom. The value obtained for the total energy is -5.117 eV per atom.


RbBe2FeBr: relaxed, PBE-GGA.

Cell and atoms, written as POSCAR:
```
RbBe2FeBr
1.0
-4.324 -4.837 -1.097
2.564 -0.933 -5.987
3.989 -4.098 2.347
Be Rb Fe Br
2 1 1 1
Direct
0.000 0.500 0.000
0.500 0.000 0.000
0.000 0.000 0.000
0.500 0.500 0.500
0.000 0.000 0.500
```

## Properties
The volume comes out at 53.519 A^3/atom. The value obtained for the total energy is -1.807 eV per atom.


Rb2BeFeBr6: relaxed, PBE-GGA.

Cell and atoms, written as POSCAR:
```
Rb2BeFeBr6
1.0
7.342 0.000 0.000
0.000 7.342 0.000
3.671 3.671 5.489
Br Be Fe Rb
6 1 1 2
Direct
0.727 0.727 0.000
0.273 0.273 0.000
0.727 0.273 0.000
0.221 0.221 0.557
0.779 0.779 0.443
0.273 0.727 0.000
0.500 0.500 0.000
0.000 0.000 0.000
0.750 0.250 0.500
0.250 0.750 0.500
```

## Properties
The volume comes out at 29.584 A^3/atom. The value obtained for the total energy is -3.383 eV per atom.


BeFeSe2Br: relaxed, PBE-GGA.

Cell and atoms, written as POSCAR:
```
BeFeSe2Br
1.0
4.583 0.000 0.000
0.000 4.583 0.000
0.000 0.000 5.103
Fe Se Be Br
1 2 1 1
Direct
0.000 0.000 0.000
0.500 0.000 0.000
0.000 0.500 0.000
0.500 0.500 0.500
0.000 0.000 0.500
```

## Properties
The volume comes out at 21.435 A^3/atom. The value obtained for the total energy is -3.522 eV per atom.


BeFeSe2Br: relaxed, PBE-GGA.

Cell and atoms, written as POSCAR:
```
BeFeSe2Br
1.0
-0.030 -4.494 -0.200
3.300 -0.158 3.053
-3.461 -0.143 3.734
Fe Be Br Se
1 1 1 2
Direct
0.500 0.500 0.500
0.000 0.000 0.000
0.000 0.000 0.500
0.500 0.000 0.000
0.000 0.500 0.000
```

## Properties
The volume comes out at 20.615 A^3/atom. The value obtained for the total energy is -3.673 eV per atom.


BeFeSiBr2: relaxed, PBE-GGA.

Cell and atoms, written as POSCAR:
```
BeFeSiBr2
1.0
-4.076 -2.493 1.111
2.462 -3.433 1.329
0.113 1.841 4.546
Br Be Si Fe
2 1 1 1
Direct
0.000 0.000 0.500
0.500 0.000 0.000
0.000 0.000 0.000
0.000 0.500 0.000
0.500 0.500 0.500
```

## Properties
The volume comes out at 21.312 A^3/atom. The value obtained for the total energy is -3.397 eV per atom.


BeFeSiBr2: relaxed, PBE-GGA.

Cell and atoms, written as POSCAR:
```
BeFeSiBr2
1.0
5.361 0.000 0.000
0.000 4.205 0.000
0.000 0.000 5.361
Be Br Si Fe
1 2 1 1
Direct
0.000 0.500 0.000
0.500 0.000 0.000
0.000 0.000 0.500
0.000 0.000 0.000
0.500 0.500 0.500
```

## Properties
The volume comes out at 24.173 A^3/atom. The value obtained for the total energy is -3.370 eV per atom.


TaBe2FeBr: relaxed, PBE-GGA.

Cell and atoms, written as POSCAR:
```
TaBe2FeBr
1.0
4.785 0.000 0.000
0.000 4.690 0.000
0.000 0.000 4.785
Be Ta Fe Br
2 1 1 1
Direct
0.000 0.000 0.500
0.500 0.000 0.000
0.000 0.000 0.000
0.000 0.500 0.000
0.500 0.500 0.500
```

## Properties
The volume comes out at 21.481 A^3/atom. The value obtained for the total energy is -4.237 eV per atom.


ZrBeFeBr: relaxed, PBE-GGA.

Cell and atoms, written as POSCAR:
```
ZrBeFeBr
1.0
3.204 0.004 0.011
1.593 4.638 -0.028
1.583 1.053 5.060
Be Br Zr Fe
1 1 1 1
Direct
0.614 0.788 0.077
0.919 0.503 0.754
0.280 0.284 0.250
0.945 0.864 0.339
```

## Properties
The volume comes out at 18.801 A^3/atom. The value obtained for the total energy is -5.355 eV per atom.


ZrBeFeBr: relaxed, PBE-GGA.

Cell and atoms, written as POSCAR:
```
ZrBeFeBr
1.0
3.088 -0.002 -0.002
0.002 3.089 -0.001
1.509 1.517 7.057
Fe Be Zr Br
1 1 1 1
Direct
0.631 0.550 0.015
0.067 0.985 0.146
0.266 0.177 0.779
0.899 0.812 0.498
```

## Properties
The volume comes out at 16.834 A^3/atom. The value obtained for the total energy is -5.634 eV per atom.


ZrBeFeBr: relaxed, PBE-GGA.

Cell and atoms, written as POSCAR:
```
ZrBeFeBr
1.0
-0.990 -3.247 -2.458
-1.655 -1.475 2.615
-7.097 6.340 -0.914
Be Zr Fe Br
2 2 2 2
Direct
0.663 0.000 0.998
0.663 0.500 0.498
0.214 0.000 0.563
0.214 0.500 0.063
0.586 0.000 0.364
0.586 0.500 0.864
0.013 0.500 0.749
0.013 0.000 0.249
```

## Properties
The volume comes out at 16.472 A^3/atom. The value obtained for the total energy is -5.434 eV per atom.


ZrBeFeBr: relaxed, PBE-GGA.

Cell and atoms, written as POSCAR:
```
ZrBeFeBr
1.0
-2.350 1.184 1.771
-2.044 -2.078 -1.323
2.642 -5.272 4.199
Zr Be Br Fe
1 1 1 1
Direct
0.876 0.500 0.200
0.699 0.500 0.843
0.539 0.500 0.527
0.272 0.000 0.991
```

## Properties
The volume comes out at 17.931 A^3/atom. The value obtained for the total energy is -5.645 eV per atom.


ZrBeFeBr: relaxed, PBE-GGA.

Cell and atoms, written as POSCAR:
```
ZrBeFeBr
1.0
-2.001 1.872 -2.101
-3.114 -2.025 1.161
-0.817 3.476 3.874
Be Zr Br Fe
1 1 1 1
Direct
0.000 0.000 0.027
0.500 0.500 0.850
0.000 0.000 0.504
0.000 0.500 0.180
```

## Properties
The volume comes out at 17.700 A^3/atom. The value obtained for the total energy is -5.464 eV per atom.


ZrBeFeBr: relaxed, PBE-GGA.

Cell and atoms, written as POSCAR:
```
ZrBeFeBr
1.0
3.241 0.000 0.000
0.000 3.209 0.000
0.000 0.000 13.042
Br Be Zr Fe
2 2 2 2
Direct
0.500 0.000 0.248
0.500 0.500 0.748
0.000 0.000 0.549
0.000 0.500 0.049
0.000 0.000 0.886
0.000 0.500 0.386
0.500 0.000 0.035
0.500 0.500 0.535
```

## Properties
The volume comes out at 16.957 A^3/atom. The value obtained for the total energy is -5.674 eV per atom.


ZrBeFeBr: relaxed, PBE-GGA.

Cell and atoms, written as POSCAR:
```
ZrBeFeBr
1.0
3.663 0.000 0.000
-1.832 3.173 0.000
0.000 0.000 6.136
Fe Be Zr Br
1 1 1 1
Direct
0.333 0.667 0.077
0.000 0.000 0.066
0.667 0.333 0.813
0.333 0.667 0.483
```

## Properties
The volume comes out at 17.829 A^3/atom. The value obtained for the total energy is -5.769 eV per atom.


ZrBeFeBr: relaxed, PBE-GGA.

Cell and atoms, written as POSCAR:
```
ZrBeFeBr
1.0
3.680 0.000 0.000
-1.840 3.187 0.000
0.000 0.000 18.338
Fe Br Zr Be
3 3 3 3
Direct
0.333 0.667 0.615
0.000 0.000 0.948
0.667 0.333 0.281
0.333 0.667 0.752
0.667 0.333 0.418
0.000 0.000 0.085
0.333 0.667 0.195
0.667 0.333 0.861
0.000 0.000 0.528
0.333 0.667 0.945
0.000 0.000 0.279
0.667 0.333 0.612
```

## Properties
The volume comes out at 17.921 A^3/atom. The value obtained for the total energy is -5.787 eV per atom.


BeGaBr2: relaxed, PBE-GGA.

Cell and atoms, written as POSCAR:
```
BeGaBr2
1.0
-0.355 -4.372 9.204
2.597 -1.971 9.660
-0.991 -0.706 10.123
Be Br Ga
1 2 1
Direct
0.000 0.000 0.000
0.934 0.934 0.934
0.066 0.066 0.066
0.500 0.500 0.500
```

## Properties
The volume comes out at 31.649 A^3/atom. The value obtained for the total energy is -2.660 eV per atom.


BeGaBr2: relaxed, PBE-GGA.

Cell and atoms, written as POSCAR:
```
BeGaBr2
1.0
-6.121 1.530 -2.611
0.510 -5.284 -4.294
-4.862 -4.666 -0.264
Ga Br Be
2 4 2
Direct
0.000 0.000 0.000
0.750 0.250 0.500
0.375 0.504 0.750
0.496 0.125 0.250
0.254 0.625 0.250
0.875 0.746 0.750
0.250 0.750 0.500
0.500 0.500 0.000
```

## Properties
The volume comes out at 27.443 A^3/atom. The value obtained for the total energy is -2.677 eV per atom.


BeGaBr2: relaxed, PBE-GGA.

Cell and atoms, written as POSCAR:
```
BeGaBr2
1.0
1.981 0.000 9.642
-0.991 1.716 9.642
-0.991 -1.716 9.642
Br Ga Be
2 1 1
Direct
0.881 0.881 0.881
0.119 0.119 0.119
0.000 0.000 0.000
0.500 0.500 0.500
```

## Properties
The volume comes out at 24.578 A^3/atom. The value obtained for the total energy is -2.836 eV per atom.


Be2GaBr: relaxed, PBE-GGA.

Cell and atoms, written as POSCAR:
```
Be2GaBr
1.0
5.630 0.000 0.000
0.000 5.630 0.000
2.815 2.815 4.814
Br Be Ga
2 4 2
Direct
0.750 0.250 0.500
0.000 0.000 0.000
0.375 0.381 0.750
0.131 0.625 0.250
0.875 0.869 0.750
0.619 0.125 0.250
0.500 0.500 0.000
0.250 0.750 0.500
```

## Properties
The volume comes out at 19.077 A^3/atom. The value obtained for the total energy is -2.594 eV per atom.


ΔE_f (raw) for the records above, in order: 9.91, 43.90, -22.30, 14.86, 11.37, 18.33, 18.95, 38.08, 5.70, -0.72, 3.88, -0.99, 3.19, -1.64, -3.83, -4.25, -3.12, -3.52, -7.17, 10.23 kcal/mol of atoms